Entry from the Alexandria database: a relaxed IBr crystal (PBE).

Values from the calculation:
DOS at the Fermi energy	0.063	states/eV/atom
energy relative to the lowest polymorph listed for this composition	178	meV per atom
symmetry	No. 217
ΔE_f (raw)	12.47	kJ per mole of atoms

Cell lengths 10.1718, 10.1718, 10.1718 Å; angles 90.00, 90.00, 90.00 degrees
Positions (direct):
Br (0.8704, 0.1296, 0.8704)
Br (0.6296, 0.6296, 0.6296)
Br (0.1296, 0.8704, 0.8704)
Br (0.3704, 0.3704, 0.6296)
Br (0.3704, 0.6296, 0.3704)
Br (0.8704, 0.8704, 0.1296)
Br (0.6296, 0.3704, 0.3704)
Br (0.1296, 0.1296, 0.1296)
I (0.7722, 0.2278, 0.2278)
I (0.2722, 0.7278, 0.7278)
I (0.2278, 0.7722, 0.2278)
I (0.7278, 0.2722, 0.7278)
I (0.2722, 0.2722, 0.2722)
I (0.7722, 0.7722, 0.7722)
I (0.2278, 0.2278, 0.7722)
I (0.7278, 0.7278, 0.2722)